Entry 1:
A plane-wave DFT calculation with PBE-GGA was carried out for crystalline GdSi2TcOs at its relaxed geometry.

Cell lengths 5.747, 5.747, 5.747 Å; angles 137.37, 137.37, 61.87 degrees
Atoms (fractional coordinates):
Si: 0.627 0.627 0.000
Si: 0.373 0.373 0.000
Tc: 0.750 0.250 0.500
Gd: 0.000 0.000 0.000
Os: 0.250 0.750 0.500

Computed properties:
SG   I-4m2 (119)

***

Entry 2:
A plane-wave DFT calculation with PBE-GGA was carried out for crystalline YCoSnPt at its relaxed geometry.

Cell lengths 4.747, 4.747, 4.747 Å; angles 60.00, 60.00, 60.00 degrees
Atoms (fractional coordinates):
Co: 0.750 0.750 0.750
Sn: 0.000 0.000 0.000
Y: 0.250 0.250 0.250
Pt: 0.500 0.500 0.500

Computed properties:
SG   F-43m (216)

***

Entry 3:
A plane-wave DFT calculation with PBE-GGA was carried out for crystalline KRe3Te5 at its relaxed geometry.

Cell lengths 6.027, 6.027, 8.194 Å; angles 90.00, 90.00, 120.00 degrees
Atoms (fractional coordinates):
Te: 0.333 0.667 0.751
Te: 0.333 0.667 0.249
Te: 0.000 0.000 0.500
Te: 0.667 0.333 0.751
Te: 0.667 0.333 0.249
Re: 0.500 0.500 0.500
Re: 0.000 0.500 0.500
Re: 0.500 0.000 0.500
K: 0.000 0.000 0.000

Computed properties:
SG   P6/mmm (191)

***

Entry 4:
A plane-wave DFT calculation with PBE-GGA was carried out for crystalline Sm2HoCo2C2N3 at its relaxed geometry.

Cell lengths 10.049, 10.049, 10.049 Å; angles 159.96, 159.96, 28.48 degrees
Atoms (fractional coordinates):
C: 0.806 0.806 0.000
C: 0.194 0.194 0.000
Co: 0.750 0.250 0.500
Co: 0.250 0.750 0.500
Ho: 0.000 0.000 0.000
Sm: 0.372 0.372 0.000
Sm: 0.628 0.628 0.000
N: 0.880 0.880 0.000
N: 0.120 0.120 0.000
N: 0.500 0.500 0.000

Computed properties:
SG   I4/mmm (139)

***

no.,total energy (eV per cell)
1,-40.46
2,-24.62
3,-51.95
4,-80.28